This record from Alexandria describes an optimized crystal structure of ErPaIrRh. The functional is PBE-GGA.

Cell: 4.8618 4.8618 4.8618 Å, 60.00 60.00 60.00°
Closest atoms and distances in Å follow each position.
Positions (direct):
Er 0.0000 0.0000 0.0000  4 Rh 2.98, 4 Ir 2.98
Pa 0.5000 0.5000 0.5000  4 Rh 2.98, 4 Ir 2.98
Ir 0.2500 0.2500 0.2500  4 Pa 2.98, 4 Er 2.98
Rh 0.7500 0.7500 0.7500  4 Pa 2.98, 4 Er 2.98

Computed properties:
**Energy above the lowest structure with this stoichiometry**: 171 meV/atom
**D(E_F)**: 5.6 states/eV/cell
**Electronic total energy**: -33.2 eV per cell
**Formation energy from the elements**: -2.96 eV per formula unit
**ρ**: 14.17 Mg/m³